(1)
Material: NiBC2
Method: DFT, PBE
State: optimized geometry

Values from the calculation:
Its space group is I-42d (122). The value obtained for the energy is -6.9881 eV per atom.

Cell: 4.1603 4.1603 4.8519 Å, 64.61 64.61 90.00°
Last column: nearest neighbours and their distance in Å.
Atoms (fractional coordinates):
Ni  0.0000  0.0000  0.0000  4 C 1.90
Ni  0.7500  0.2500  0.5000  4 C 1.90
C  0.1799  0.6250  0.2500  2 B 1.63
C  0.8750  0.8201  0.7500  2 B 1.63
C  0.5701  0.1250  0.2500  2 B 1.63
C  0.3750  0.4299  0.7500  2 B 1.63
B  0.5000  0.5000  0.0000  4 C 1.63
B  0.2500  0.7500  0.5000  4 C 1.63

=====

(2)
Material: NiBC2
Method: DFT, PBE
State: optimized geometry

Values from the calculation:
Its space group is Cm (8). The value obtained for the energy is -7.3264 eV per atom.

Cell: 3.6232 2.7180 7.3796 Å, 90.00 105.10 90.00°
Last column: nearest neighbours and their distance in Å.
Atoms (fractional coordinates):
Ni  0.1931  0.5000  0.6052  3 C 1.97-2.07
Ni  0.1931  0.0000  0.1052  3 C 1.97-2.07
C  0.8401  0.5000  0.9632  1 C 1.40, 1 B 1.56
C  0.8401  0.0000  0.4632  1 C 1.40, 1 B 1.56
C  0.7537  0.0000  0.2663  1 C 1.40
C  0.7537  0.5000  0.7663  1 C 1.40
B  0.7220  0.0000  0.6517  3 C 1.56-1.59
B  0.7220  0.5000  0.1517  3 C 1.56-1.59

=====

(3)
Material: NiBC2
Method: DFT, PBE
State: optimized geometry

Values from the calculation:
Its space group is Cm (8). The value obtained for the energy is -7.2790 eV per atom.

Cell: 3.9837 2.7439 7.4095 Å, 90.00 121.78 90.00°
Last column: nearest neighbours and their distance in Å.
Atoms (fractional coordinates):
B  0.8608  0.0000  0.2988  3 C 1.53-1.62
B  0.8608  0.5000  0.7988  3 C 1.53-1.62
Ni  0.0730  0.5000  0.1396  5 C 2.00-2.19, 1 B 2.20
Ni  0.0730  0.0000  0.6396  5 C 2.00-2.19, 1 B 2.20
C  0.4214  0.5000  0.6248  1 C 1.42, 1 B 1.53
C  0.0911  0.0000  0.9143  1 C 1.42
C  0.0911  0.5000  0.4143  1 C 1.42
C  0.4214  0.0000  0.1248  1 C 1.42, 1 B 1.53

=====

(4)
Material: NiBC2
Method: DFT, PBE
State: optimized geometry

Values from the calculation:
Its space group is Cm (8). The value obtained for the energy is -7.3654 eV per atom.

Cell: 4.4803 2.5022 6.9779 Å, 90.00 124.79 90.00°
Last column: nearest neighbours and their distance in Å.
Atoms (fractional coordinates):
Ni  0.2263  0.5000  0.1112  3 B 2.04-2.06, 5 C 2.15-2.28
Ni  0.2263  0.0000  0.6112  3 B 2.04-2.06, 5 C 2.15-2.28
B  0.0696  0.0000  0.8378  2 C 1.56-1.61
B  0.0696  0.5000  0.3378  2 C 1.56-1.61
C  0.5055  0.5000  0.4839  2 C 1.47, 1 B 1.61
C  0.5055  0.0000  0.9839  2 C 1.47, 1 B 1.61
C  0.7074  0.5000  0.0896  2 C 1.47, 1 B 1.56
C  0.7074  0.0000  0.5896  2 C 1.47, 1 B 1.56

=====

(5)
Material: Ni3BC
Method: DFT, PBE
State: optimized geometry

Values from the calculation:
Its space group is Pm-3m (221). The value obtained for the energy is -6.0765 eV per atom.

Cell: 3.6589 3.6589 3.6589 Å, 90.00 90.00 90.00°
Last column: nearest neighbours and their distance in Å.
Atoms (fractional coordinates):
Ni  0.5000  0.0000  0.0000  2 C 1.83
Ni  0.0000  0.5000  0.0000  2 C 1.83
Ni  0.0000  0.0000  0.5000  2 C 1.83
B  0.5000  0.5000  0.5000  12 Ni 2.59
C  0.0000  0.0000  0.0000  6 Ni 1.83

=====

(6)
Material: NiBC2
Method: DFT, PBE
State: optimized geometry

Values from the calculation:
Its space group is R3m (160). The value obtained for the energy is -7.1221 eV per atom.

Cell: 2.7322 2.7322 14.4134 Å, 90.00 90.00 120.00°
Last column: nearest neighbours and their distance in Å.
Atoms (fractional coordinates):
C  0.0000  0.0000  0.4100  1 B 1.64
C  0.6667  0.3333  0.7433  1 B 1.64
C  0.0000  0.0000  0.8838  3 B 1.62
C  0.3333  0.6667  0.5504  3 B 1.62
C  0.6667  0.3333  0.2171  3 B 1.62
C  0.3333  0.6667  0.0766  1 B 1.64
B  0.3333  0.6667  0.1902  4 C 1.62-1.64
B  0.0000  0.0000  0.5236  4 C 1.62-1.64
B  0.6667  0.3333  0.8569  4 C 1.62-1.64
Ni  0.6667  0.3333  0.0040  3 C 1.89
Ni  0.3333  0.6667  0.3374  3 C 1.89
Ni  0.0000  0.0000  0.6707  3 C 1.89

=====

(7)
Material: NiBC2
Method: DFT, PBE
State: optimized geometry

Values from the calculation:
Its space group is Pmm2 (25). The value obtained for the energy is -7.2867 eV per atom.

Cell: 2.4637 2.5833 5.0226 Å, 90.00 90.00 90.00°
Last column: nearest neighbours and their distance in Å.
Atoms (fractional coordinates):
Ni  0.0000  0.5000  0.0046  2 C 2.06, 4 B 2.12
C  0.0000  0.0000  0.6843  2 C 1.42
C  0.5000  0.0000  0.5432  2 C 1.42, 1 B 1.56
B  0.5000  0.0000  0.2319  1 C 1.56

=====

(8)
Material: PmNiBC
Method: DFT, PBE
State: optimized geometry

Values from the calculation:
Its space group is P4/nmm (129). The value obtained for the energy is -7.0216 eV per atom.

Cell: 3.7026 3.7026 7.5634 Å, 90.00 90.00 90.00°
Last column: nearest neighbours and their distance in Å.
Atoms (fractional coordinates):
B  0.0000  0.5000  0.3605  1 C 1.49
B  0.5000  0.0000  0.6395  1 C 1.49
C  0.0000  0.5000  0.1630  1 B 1.49
C  0.5000  0.0000  0.8370  1 B 1.49
Ni  0.5000  0.5000  0.5000  4 B 2.13
Ni  0.0000  0.0000  0.5000  4 B 2.13
Pm  0.5000  0.0000  0.1717  5 C 2.53-2.62
Pm  0.0000  0.5000  0.8283  5 C 2.53-2.62

=====

(9)
Material: PmNiB2C
Method: DFT, PBE
State: optimized geometry

Values from the calculation:
Its space group is Cmcm (63). The value obtained for the energy is -6.8724 eV per atom.

Cell: 3.7096 5.4237 6.2547 Å, 90.00 90.00 110.00°
Last column: nearest neighbours and their distance in Å.
Atoms (fractional coordinates):
C  0.0000  0.0000  0.0000  2 B 1.47
C  0.0000  0.0000  0.5000  2 B 1.47
B  0.8722  0.7443  0.3920  1 C 1.47
B  0.1278  0.2557  0.6080  1 C 1.47
B  0.8722  0.7443  0.1080  1 C 1.47
B  0.1278  0.2557  0.8920  1 C 1.47
Ni  0.6859  0.3718  0.7500  4 B 2.14
Ni  0.3141  0.6282  0.2500  4 B 2.14
Pm  0.3982  0.7964  0.7500  4 C 2.64, 3 Ni 2.85-2.93, 6 B 2.90-2.92
Pm  0.6018  0.2036  0.2500  4 C 2.64, 3 Ni 2.85-2.93, 6 B 2.90-2.92

=====

(10)
Material: Pm2Ni2B2C
Method: DFT, PBE
State: optimized geometry

Values from the calculation:
Its space group is C2/m (12). The value obtained for the energy is -6.6194 eV per atom.

Cell: 3.7144 5.6115 5.5023 Å, 73.72 70.27 70.67°
Last column: nearest neighbours and their distance in Å.
Atoms (fractional coordinates):
Ni  0.7826  0.6008  0.8340  3 B 2.08-2.17
Ni  0.2174  0.3992  0.1660  3 B 2.08-2.17
Pm  0.4447  0.7949  0.3157  2 C 2.57, 1 Ni 2.87
Pm  0.5553  0.2051  0.6843  2 C 2.57, 1 Ni 2.87
B  0.1776  0.7595  0.8852  1 C 1.50
B  0.8224  0.2405  0.1148  1 C 1.50
C  0.0000  0.0000  0.0000  2 B 1.50

=====

(11)
Material: PrNiB2C
Method: DFT, PBE
State: optimized geometry

Values from the calculation:
Its space group is Cmcm (63). The value obtained for the energy is -6.8462 eV per atom.

Cell: 3.7157 5.5193 6.4460 Å, 90.00 90.00 109.67°
Last column: nearest neighbours and their distance in Å.
Atoms (fractional coordinates):
B  0.1217  0.2435  0.6140  1 C 1.46
B  0.1217  0.2435  0.8860  1 C 1.46
B  0.8783  0.7565  0.1140  1 C 1.46
B  0.8783  0.7565  0.3860  1 C 1.46
Pr  0.6080  0.2160  0.2500  4 C 2.70, 3 Ni 2.91-2.96, 6 B 2.94-3.00
Pr  0.3920  0.7840  0.7500  4 C 2.70, 3 Ni 2.91-2.96, 6 B 2.94-3.00
C  0.0000  0.0000  0.0000  2 B 1.46
C  0.0000  0.0000  0.5000  2 B 1.46
Ni  0.3233  0.6466  0.2500  4 B 2.13
Ni  0.6767  0.3534  0.7500  4 B 2.13

=====

(12)
Material: NiBRu2C
Method: DFT, PBE
State: optimized geometry

Values from the calculation:
Its space group is P4/mmm (123). The value obtained for the energy is -5.7119 eV per atom.

Cell: 4.4613 3.4550 4.4613 Å, 90.00 90.00 90.00°
Last column: nearest neighbours and their distance in Å.
Atoms (fractional coordinates):
Ru  0.5000  0.0000  0.0000  2 Ni 2.23
Ru  0.0000  0.0000  0.5000  2 Ni 2.23
Ni  0.0000  0.0000  0.0000  2 B 1.73
B  0.0000  0.5000  0.0000  2 Ni 1.73
C  0.5000  0.5000  0.5000  8 Ru 2.82, 4 B 3.15